{"formula": "BaLa2Mo", "functional": "PBE", "state": "relaxed", "lattice": [[3.801, 0.000, 0.000], [0.000, 4.637, 0.000], [-1.837, 0.000, 8.655]], "species": ["Ba", "La", "La", "Mo"], "frac_coords": [[0.000, 0.000, 0.000], [0.434, 0.000, 0.629], [0.703, 0.500, 0.367], [0.045, 0.500, 0.631]], "vol_a3_per_cell": 152.5, "sg": "Pm (6)", "de_polymorph_ev_per_atom": 0.130}

=====

{"formula": "CuHW", "functional": "PBE", "state": "relaxed", "lattice": [[2.768, 0.000, 0.000], [0.044, 4.355, 0.000], [0.995, 0.093, 5.203]], "species": ["Cu", "Cu", "H", "H", "W", "W"], "frac_coords": [[0.000, 0.000, 0.000], [0.090, 0.525, 0.771], [0.544, 0.252, 0.872], [0.921, 0.266, 0.250], [0.428, 0.561, 0.272], [0.667, 0.021, 0.534]], "vol_a3_per_cell": 62.7, "sg": "P1 (1)", "de_polymorph_ev_per_atom": 0.019}

=====

{"formula": "La6P2CBr3", "functional": "PBE", "state": "relaxed", "lattice": [[3.591, -6.219, 0.000], [3.591, 6.219, 0.000], [-2.395, 0.000, 7.497]], "species": ["La", "La", "La", "La", "La", "La", "P", "P", "C", "Br", "Br", "Br"], "frac_coords": [[0.065, 0.376, 0.196], [0.245, 0.245, 0.803], [0.376, 0.065, 0.196], [0.624, 0.935, 0.804], [0.755, 0.755, 0.197], [0.935, 0.624, 0.804], [0.334, 0.666, 0.000], [0.666, 0.334, 0.000], [0.000, 0.000, 0.000], [0.171, 0.829, 0.500], [0.500, 0.500, 0.500], [0.829, 0.171, 0.500]], "vol_a3_per_cell": 334.9, "sg": "C2/m (12)", "e_form_raw_mev_per_atom": -1365}

=====

{"formula": "ThZnIr2", "functional": "PBE", "state": "relaxed", "lattice": [[4.360, 0.000, 0.000], [0.000, 4.360, 0.000], [0.000, 0.000, 3.874]], "species": ["Th", "Zn", "Ir", "Ir"], "frac_coords": [[0.000, 0.000, 0.000], [0.500, 0.500, 0.000], [0.000, 0.500, 0.500], [0.500, 0.000, 0.500]], "vol_a3_per_cell": 73.6, "sg": "P4/mmm (123)"}

=====

{"formula": "LiHgP2O", "functional": "PBE", "state": "relaxed", "lattice": [[5.086, 0.000, 0.000], [0.000, 5.086, 0.000], [0.000, 0.000, 4.274]], "species": ["Li", "Hg", "P", "P", "O"], "frac_coords": [[0.000, 0.000, 0.000], [0.500, 0.500, 0.500], [0.000, 0.500, 0.500], [0.500, 0.000, 0.500], [0.500, 0.500, 0.000]], "vol_a3_per_cell": 110.6, "sg": "P4/mmm (123)", "e_form_raw_mev_per_atom": 805, "de_polymorph_ev_per_atom": 0.314}

=====

{"formula": "BaMgSb2", "functional": "PBE", "state": "relaxed", "lattice": [[6.940, -2.164, 0.000], [6.940, 2.164, 0.000], [-0.836, 0.000, 4.544]], "species": ["Ba", "Mg", "Sb", "Sb"], "frac_coords": [[0.000, 0.000, 0.000], [0.746, 0.746, 0.168], [0.203, 0.203, 0.625], [0.390, 0.390, 0.445]], "vol_a3_per_cell": 136.5, "sg": "Cm (8)", "e_form_raw_mev_per_atom": -460}

=====

{"formula": "Ho2TmTe", "functional": "PBE", "state": "relaxed", "lattice": [[1.907, 1.101, 9.852], [-1.907, 1.101, 9.852], [0.000, -2.202, 9.852]], "species": ["Ho", "Ho", "Tm", "Te"], "frac_coords": [[0.239, 0.239, 0.239], [0.761, 0.761, 0.761], [0.000, 0.000, 0.000], [0.500, 0.500, 0.500]], "vol_a3_per_cell": 124.2, "sg": "R-3m (166)", "e_form_raw_mev_per_atom": -501, "de_polymorph_ev_per_atom": 0.130}

=====

{"formula": "GaTe2NO", "functional": "PBE", "state": "relaxed", "lattice": [[5.628, 0.000, 0.000], [0.000, 5.628, 0.000], [0.000, 0.000, 3.484]], "species": ["Ga", "Te", "Te", "N", "O"], "frac_coords": [[0.000, 0.000, 0.000], [0.000, 0.500, 0.000], [0.500, 0.000, 0.000], [0.000, 0.000, 0.500], [0.500, 0.500, 0.500]], "vol_a3_per_cell": 110.4, "sg": "P4/mmm (123)", "e_form_raw_mev_per_atom": 1086, "de_polymorph_ev_per_atom": 0.075}

=====

{"formula": "BaGaIrPt2", "functional": "PBE", "state": "relaxed", "lattice": [[5.293, 0.000, 0.000], [0.000, 5.293, 0.000], [0.000, 0.000, 5.695]], "species": ["Ba", "Ga", "Ir", "Pt", "Pt"], "frac_coords": [[0.000, 0.000, 0.000], [0.000, 0.000, 0.500], [0.500, 0.500, 0.500], [0.000, 0.500, 0.000], [0.500, 0.000, 0.000]], "vol_a3_per_cell": 159.5, "sg": "P4/mmm (123)"}

=====

{"formula": "NaTlBi4", "functional": "PBE", "state": "relaxed", "lattice": [[0.000, 4.723, 4.723], [4.723, 0.000, 4.723], [4.723, 4.723, 0.000]], "species": ["Na", "Tl", "Bi", "Bi", "Bi", "Bi"], "frac_coords": [[0.000, 0.000, 0.000], [0.250, 0.250, 0.250], [0.126, 0.625, 0.625], [0.625, 0.126, 0.625], [0.625, 0.625, 0.126], [0.625, 0.625, 0.625]], "vol_a3_per_cell": 210.7, "sg": "F-43m (216)", "de_polymorph_ev_per_atom": 0.083}

=====

{"formula": "PmSn2Ru2", "functional": "PBE", "state": "relaxed", "lattice": [[-2.380, 3.046, 3.529], [2.380, -3.046, 3.529], [2.380, 3.046, -3.529]], "species": ["Pm", "Sn", "Sn", "Ru", "Ru"], "frac_coords": [[0.000, 0.000, 0.000], [0.299, 0.799, 0.500], [0.701, 0.201, 0.500], [0.292, 0.500, 0.792], [0.708, 0.500, 0.208]], "vol_a3_per_cell": 102.4, "sg": "Immm (71)"}

=====

{"formula": "RbTl2BrF2", "functional": "PBE", "state": "relaxed", "lattice": [[7.582, 0.000, 0.000], [0.000, 6.521, 0.000], [-2.409, 0.000, 7.509]], "species": ["Rb", "Rb", "Tl", "Tl", "Tl", "Tl", "Br", "Br", "F", "F", "F", "F"], "frac_coords": [[0.177, 0.250, 0.460], [0.823, 0.750, 0.540], [0.082, 0.250, 0.938], [0.385, 0.750, 0.842], [0.615, 0.250, 0.158], [0.918, 0.750, 0.062], [0.347, 0.750, 0.250], [0.653, 0.250, 0.750], [0.131, 0.506, 0.730], [0.131, 0.994, 0.730], [0.869, 0.006, 0.270], [0.869, 0.494, 0.270]], "vol_a3_per_cell": 371.3, "sg": "P2_1/m (11)", "e_form_raw_mev_per_atom": -1755}

=====

Number 1: density of states at the Fermi level 4.71 states/eV/cell, electronic total energy -5.169 eV/atom. Number 2: density of states at the Fermi level 1.24 states/eV/cell, electronic total energy -6.535 eV/atom. Number 3: density of states at the Fermi level 4.89 states/eV/cell, electronic total energy -5.917 eV/atom. Number 4: density of states at the Fermi level 0.87 states/eV/cell, electronic total energy -7.162 eV/atom. Number 5: density of states at the Fermi level 3.43 states/eV/cell, electronic total energy -2.794 eV/atom. Number 6: density of states at the Fermi level 1.07 states/eV/cell, electronic total energy -3.401 eV/atom. Number 7: density of states at the Fermi level 4.01 states/eV/cell, electronic total energy -4.693 eV/atom. Number 8: density of states at the Fermi level 4.85 states/eV/cell, electronic total energy -3.433 eV/atom. Number 9: density of states at the Fermi level 8.53 states/eV/cell, electronic total energy -3.025 eV/atom. Number 10: density of states at the Fermi level 6.52 states/eV/cell, electronic total energy -3.215 eV/atom. Number 11: density of states at the Fermi level 2.91 states/eV/cell, electronic total energy -6.463 eV/atom. Number 12: density of states at the Fermi level 0.00 states/eV/cell, electronic total energy -3.608 eV/atom.